(1)
A relaxed LiMgCu2As2 crystal, computed with PBE.

a = 3.8832 Å, b = 3.8832 Å, c = 6.2866 Å
α = 90.00°, β = 90.00°, γ = 90.00°
With the nearest neighbours (Å) after each atom.
Space group P4mm (No. 99)
One atom of each set of equivalent atoms:
Li: 0.0000 0.0000 0.0000 (multiplicity 1)  5 As 2.64-2.79, 4 Cu 2.79
Mg: 0.5000 0.5000 0.3450 (multiplicity 1)  5 As 2.64-2.79, 4 Cu 2.87
Cu: 0.0000 0.5000 0.6821 (multiplicity 2)  4 As 2.47-2.54, 4 Cu 2.75
As: 0.0000 0.0000 0.4204 (multiplicity 1)  4 Cu 2.54, 1 Li 2.64, 4 Mg 2.79
As: 0.5000 0.5000 0.9251 (multiplicity 1)  4 Cu 2.47, 1 Mg 2.64

Raw total energy   -3.757 eV per atom
ρ   5.4 g cm⁻³


(2)
A relaxed Th2TeOs crystal, computed with PBE.

a = 4.1979 Å, b = 4.1979 Å, c = 23.0623 Å
α = 90.00°, β = 90.00°, γ = 120.00°
With the nearest neighbours (Å) after each atom.
Space group R-3m (No. 166, hexagonal axes)
One atom of each set of equivalent atoms:
Th: 0.0000 0.0000 0.2329 (multiplicity 6)  3 Os 2.86
Te: 0.0000 0.0000 0.0000 (multiplicity 3)  6 Th 3.35
Os: 0.0000 0.0000 0.5000 (multiplicity 3)  6 Th 2.86

Raw total energy   -8.141 eV per atom
ρ   11.1 g cm⁻³